Material: TePPbS2
Method: DFT, PBE
State: relaxed

```
5
Lattice="-0.689 -4.677 2.030 1.724 -2.142 -4.349 4.997 0.102 1.931" Properties=species:S:1:pos:R:3 pbc="T T T"
Pb 0.000 0.000 0.000
S 0.862 -1.071 -2.175
S -0.344 -2.339 1.015
Te 3.016 -3.358 -0.194
P 2.499 0.051 0.966
```

Computed properties:
Crystal system ... tetragonal
VASP energy ... -3.160 eV per atom
SG ... No. 123
Raw formation energy ... 21.754 kcal/mol of atoms